# 1
## LaTaSiHg2 (GGA-PBE)

Data for crystalline LaTaSiHg2 at its relaxed geometry.

The structure belongs to space group P4/mmm (No. 123); the cell edges are 5.297, 5.297 and 4.879 Å and the angles 90.00°, 90.00° and 90.00°. The inequivalent atoms are La at (0.000, 0.000, 0.000), Ta at (0.500, 0.500, 0.500), Si at (0.500, 0.500, 0.000) and Hg at (0.000, 0.500, 0.500).

For the magnetization, the calculation gives 0.00 μB/f.u. The uncorrected formation energy is 0.136 eV per atom. As for the volume: 27.38 Å³ per atom.

=====

# 2
## SmHoSn (GGA-PBE)

Data for crystalline SmHoSn at its relaxed geometry.

The structure belongs to space group P3m1 (No. 156); the cell edges are 5.1198, 5.1198 and 3.9163 Å and the angles 90.00°, 90.00° and 120.00°. The inequivalent atoms are Sm at (0.0000, 0.0000, 0.0000), Ho at (0.6667, 0.3333, 0.5543) and Sn at (0.3333, 0.6667, 0.3355).

The calculation puts the energy above the most stable polymorph in this dataset at 243 meV/atom. For the magnetization, the calculation gives 0.00 μB/f.u. As for the volume: 29.63 Å³ per atom. Its formation energy from the elements is -0.362 eV per atom.